# Na2GaP PBEsol optimized geometry
# Energy of formation = 0.6 eV/f.u.
# SG = I-42d, No. 122
data_Na2GaP
_chemical_formula_sum 'Na8 Ga4 P4'
_space_group_name_H-M_alt 'P 1'
_space_group_IT_number 1
_cell_length_a 4.033
_cell_length_b 4.033
_cell_length_c 20.110
_cell_angle_alpha 90.00
_cell_angle_beta 90.00
_cell_angle_gamma 90.00
loop_
_space_group_symop_operation_xyz
'x,y,z'
loop_
_atom_site_label
_atom_site_type_symbol
_atom_site_fract_x
_atom_site_fract_y
_atom_site_fract_z
Na1 Na 0.234 0.250 0.125
Na2 Na 0.250 0.734 0.375
Na3 Na 0.250 0.766 0.875
Na4 Na 0.266 0.250 0.625
Na5 Na 0.734 0.750 0.625
Na6 Na 0.750 0.234 0.875
Na7 Na 0.750 0.266 0.375
Na8 Na 0.766 0.750 0.125
Ga1 Ga 0.000 0.000 0.500
Ga2 Ga 0.000 0.500 0.750
Ga3 Ga 0.500 0.000 0.250
Ga4 Ga 0.500 0.500 0.000
P1 P 0.000 0.000 0.000
P2 P 0.000 0.500 0.250
P3 P 0.500 0.000 0.750
P4 P 0.500 0.500 0.500



# Na2GaReP PBEsol optimized geometry
# Energy of formation = 3.2 eV/f.u.
# SG = P4/mmm, No. 123
data_Na2GaReP
_chemical_formula_sum 'Na2 Ga1 Re1 P1'
_space_group_name_H-M_alt 'P 1'
_space_group_IT_number 1
_cell_length_a 5.105
_cell_length_b 5.105
_cell_length_c 4.455
_cell_angle_alpha 90.00
_cell_angle_beta 90.00
_cell_angle_gamma 90.00
loop_
_space_group_symop_operation_xyz
'x,y,z'
loop_
_atom_site_label
_atom_site_type_symbol
_atom_site_fract_x
_atom_site_fract_y
_atom_site_fract_z
Na1 Na 0.000 0.500 0.000
Na2 Na 0.500 0.000 0.000
Ga1 Ga 0.000 0.000 0.500
Re1 Re 0.500 0.500 0.500
P1 P 0.500 0.500 0.000



# Na3Sr3GaP4 PBEsol optimized geometry
# Energy of formation = -8.6 eV/f.u.
# SG = P6_3mc, No. 186
data_Na3Sr3GaP4
_chemical_formula_sum 'Na6 Sr6 Ga2 P8'
_space_group_name_H-M_alt 'P 1'
_space_group_IT_number 1
_cell_length_a 9.317
_cell_length_b 9.317
_cell_length_c 7.300
_cell_angle_alpha 90.00
_cell_angle_beta 90.00
_cell_angle_gamma 120.00
loop_
_space_group_symop_operation_xyz
'x,y,z'
loop_
_atom_site_label
_atom_site_type_symbol
_atom_site_fract_x
_atom_site_fract_y
_atom_site_fract_z
Na1 Na 0.134 0.269 0.000
Na2 Na 0.134 0.866 0.000
Na3 Na 0.269 0.134 0.500
Na4 Na 0.731 0.866 0.000
Na5 Na 0.866 0.134 0.500
Na6 Na 0.866 0.731 0.500
Sr1 Sr 0.045 0.522 0.329
Sr2 Sr 0.478 0.522 0.329
Sr3 Sr 0.478 0.955 0.329
Sr4 Sr 0.522 0.045 0.829
Sr5 Sr 0.522 0.478 0.829
Sr6 Sr 0.955 0.478 0.829
Ga1 Ga 0.333 0.667 0.703
Ga2 Ga 0.667 0.333 0.203
P1 P 0.191 0.381 0.609
P2 P 0.191 0.809 0.609
P3 P 0.333 0.667 0.044
P4 P 0.381 0.191 0.109
P5 P 0.619 0.809 0.609
P6 P 0.667 0.333 0.544
P7 P 0.809 0.191 0.109
P8 P 0.809 0.619 0.109



# NaTiGaP2 PBEsol optimized geometry
# Energy of formation = -0.5 eV/f.u.
# SG = P4/mmm, No. 123
data_NaTiGaP2
_chemical_formula_sum 'Na1 Ti1 Ga1 P2'
_space_group_name_H-M_alt 'P 1'
_space_group_IT_number 1
_cell_length_a 4.697
_cell_length_b 4.697
_cell_length_c 4.888
_cell_angle_alpha 90.00
_cell_angle_beta 90.00
_cell_angle_gamma 90.00
loop_
_space_group_symop_operation_xyz
'x,y,z'
loop_
_atom_site_label
_atom_site_type_symbol
_atom_site_fract_x
_atom_site_fract_y
_atom_site_fract_z
Na1 Na 0.000 0.000 0.000
Ti1 Ti 0.500 0.500 0.500
Ga1 Ga 0.500 0.500 0.000
P1 P 0.000 0.500 0.500
P2 P 0.500 0.000 0.500



# Na2GaPb2 PBEsol optimized geometry
# Energy of formation = 0.8 eV/f.u.
# SG = I4/mmm, No. 139
# Energy above the lowest structure with this stoichiometry = 213 meV/atom
data_Na2GaPb2
_chemical_formula_sum 'Na4 Ga2 Pb4'
_space_group_name_H-M_alt 'P 1'
_space_group_IT_number 1
_cell_length_a 4.110
_cell_length_b 4.110
_cell_length_c 16.218
_cell_angle_alpha 90.00
_cell_angle_beta 90.00
_cell_angle_gamma 90.00
loop_
_space_group_symop_operation_xyz
'x,y,z'
loop_
_atom_site_label
_atom_site_type_symbol
_atom_site_fract_x
_atom_site_fract_y
_atom_site_fract_z
Na1 Na 0.000 0.500 0.250
Na2 Na 0.000 0.500 0.750
Na3 Na 0.500 0.000 0.250
Na4 Na 0.500 0.000 0.750
Ga1 Ga 0.000 0.000 0.000
Ga2 Ga 0.500 0.500 0.500
Pb1 Pb 0.000 0.000 0.407
Pb2 Pb 0.000 0.000 0.593
Pb3 Pb 0.500 0.500 0.093
Pb4 Pb 0.500 0.500 0.907



# Na2GaPb2 PBEsol optimized geometry
# Energy of formation = -0.3 eV/f.u.
# SG = P4/mbm, No. 127
# Energy above the lowest structure with this stoichiometry = 0 meV/atom
data_Na2GaPb2
_chemical_formula_sum 'Na4 Ga2 Pb4'
_space_group_name_H-M_alt 'P 1'
_space_group_IT_number 1
_cell_length_a 7.464
_cell_length_b 7.464
_cell_length_c 5.081
_cell_angle_alpha 90.00
_cell_angle_beta 90.00
_cell_angle_gamma 90.00
loop_
_space_group_symop_operation_xyz
'x,y,z'
loop_
_atom_site_label
_atom_site_type_symbol
_atom_site_fract_x
_atom_site_fract_y
_atom_site_fract_z
Na1 Na 0.164 0.336 0.000
Na2 Na 0.336 0.836 0.000
Na3 Na 0.664 0.164 0.000
Na4 Na 0.836 0.664 0.000
Ga1 Ga 0.000 0.000 0.500
Ga2 Ga 0.500 0.500 0.500
Pb1 Pb 0.148 0.648 0.500
Pb2 Pb 0.352 0.148 0.500
Pb3 Pb 0.648 0.852 0.500
Pb4 Pb 0.852 0.352 0.500